{"formula": "YSbMo2", "functional": "PBE-GGA", "state": "relaxed", "lattice_angstrom": [[10.544, 0.000, 0.000], [0.000, 3.569, 0.000], [-2.089, 0.000, 4.253]], "species": ["Y", "Y", "Sb", "Sb", "Mo", "Mo", "Mo", "Mo"], "frac_coords": [[0.000, 0.000, 0.000], [0.500, 0.500, 0.000], [0.275, 0.500, 0.279], [0.775, 0.000, 0.279], [0.028, 0.500, 0.526], [0.234, 0.000, 0.736], [0.528, 0.000, 0.526], [0.734, 0.500, 0.736]], "final_energy_ev_per_atom": -7.968, "dos_ef_per_ev_cell": 4.42, "space_group": "Cm", "raw_formation_energy_ev_per_atom": 0.094, "magmom_total_mub_per_atom": 0.0000}